Entry 1:
Zr2TlCl, optimized geometry, DFT PBEsol; M_tot = 0.0 μB/cell; SG = No. 8; formation energy from raw total energies = -316 meV per atom; calculated volume = 20.681 A^3/atom; distance to the lowest polymorph of the same formula = 0.55 eV/f.u.; crystal system = monoclinic
1.0
11.8779 0.0000 0.0000
0.0000 3.2343 0.0000
-1.8317 0.0000 4.3067
Zr Tl Cl
4 2 2
direct
0.0000 0.0000 0.0000 Zr
0.2337 0.0000 0.7414 Zr
0.5000 0.5000 0.0000 Zr
0.7337 0.5000 0.7414 Zr
0.4405 0.0000 0.4422 Tl
0.9405 0.5000 0.4422 Tl
0.1815 0.5000 0.1906 Cl
0.6815 0.0000 0.1906 Cl

---

Entry 2:
Zr2TlCl, optimized geometry, DFT PBEsol; M_tot = 0.0 μB/cell; SG = No. 25; formation energy from raw total energies = -397 meV per atom; calculated volume = 21.539 A^3/atom; distance to the lowest polymorph of the same formula = 0.22 eV/f.u.; crystal system = orthorhombic
1.0
3.2978 0.0000 0.0000
0.0000 3.7968 0.0000
0.0000 0.0000 6.8808
Zr Tl Cl
2 1 1
direct
0.0000 0.0000 0.0000 Zr
0.5000 0.5000 0.2746 Zr
0.5000 0.5000 0.7555 Tl
0.0000 0.0000 0.3896 Cl

---

Entry 3:
Zr2TlCl, optimized geometry, DFT PBEsol; M_tot = 0.0 μB/cell; SG = No. 166; formation energy from raw total energies = -454 meV per atom; calculated volume = 20.095 A^3/atom; distance to the lowest polymorph of the same formula = 0.00 eV/f.u.; crystal system = trigonal
1.0
3.1889 0.0000 0.0000
-1.5945 2.7617 0.0000
0.0000 0.0000 27.3812
Zr Tl Cl
6 3 3
direct
0.0000 0.0000 0.2423 Zr
0.0000 0.0000 0.7577 Zr
0.3333 0.6667 0.4244 Zr
0.3333 0.6667 0.9089 Zr
0.6667 0.3333 0.0911 Zr
0.6667 0.3333 0.5756 Zr
0.0000 0.0000 0.0000 Tl
0.3333 0.6667 0.6667 Tl
0.6667 0.3333 0.3333 Tl
0.0000 0.0000 0.5000 Cl
0.3333 0.6667 0.1667 Cl
0.6667 0.3333 0.8333 Cl

---

Entry 4:
UCl3, optimized geometry, DFT PBEsol; M_tot = 6.0 μB/cell; SG = No. 176; formation energy from raw total energies = -1554 meV per atom; calculated volume = 23.557 A^3/atom; crystal system = hexagonal
1.0
7.3830 0.0000 0.0000
-3.6915 6.3939 0.0000
0.0000 0.0000 3.9922
U Cl
2 6
direct
0.3333 0.6667 0.2500 U
0.6667 0.3333 0.7500 U
0.0825 0.3821 0.7500 Cl
0.2996 0.9175 0.7500 Cl
0.3821 0.2996 0.2500 Cl
0.6179 0.7004 0.7500 Cl
0.7004 0.0825 0.2500 Cl
0.9175 0.6179 0.2500 Cl

---

Entry 5:
VCl4, optimized geometry, DFT PBEsol; M_tot = 4.0 μB/cell; SG = No. 14; formation energy from raw total energies = -1084 meV per atom; calculated volume = 30.151 A^3/atom; crystal system = monoclinic
1.0
9.6595 0.0000 0.0000
0.0000 6.5007 0.0000
-2.1657 0.0000 9.6033
V Cl
4 16
direct
0.2497 0.0730 0.1360 V
0.2497 0.4270 0.6360 V
0.7503 0.5730 0.3640 V
0.7503 0.9270 0.8640 V
0.0786 0.5834 0.6943 Cl
0.0786 0.9166 0.1943 Cl
0.1909 0.1184 0.5807 Cl
0.1909 0.3816 0.0807 Cl
0.3059 0.5796 0.4654 Cl
0.3059 0.9204 0.9654 Cl
0.4271 0.0718 0.3071 Cl
0.4271 0.4282 0.8071 Cl
0.5729 0.5718 0.1929 Cl
0.5729 0.9282 0.6929 Cl
0.6941 0.0796 0.0346 Cl
0.6941 0.4204 0.5346 Cl
0.8091 0.6184 0.9193 Cl
0.8091 0.8816 0.4193 Cl
0.9214 0.0834 0.8057 Cl
0.9214 0.4166 0.3057 Cl

---

Entry 6:
WCl4, optimized geometry, DFT PBEsol; M_tot = 4.0 μB/cell; SG = No. 229; formation energy from raw total energies = 98 meV per atom; calculated volume = 20.849 A^3/atom; crystal system = cubic
1.0
5.9297 0.0000 0.0000
0.0000 5.9297 0.0000
0.0000 0.0000 5.9297
W Cl
2 8
direct
0.0000 0.0000 0.0000 W
0.5000 0.5000 0.5000 W
0.2500 0.2500 0.2500 Cl
0.2500 0.2500 0.7500 Cl
0.2500 0.7500 0.2500 Cl
0.2500 0.7500 0.7500 Cl
0.7500 0.2500 0.2500 Cl
0.7500 0.2500 0.7500 Cl
0.7500 0.7500 0.2500 Cl
0.7500 0.7500 0.7500 Cl

---

Entry 7:
WCl4, optimized geometry, DFT PBEsol; M_tot = 0.0 μB/cell; SG = No. 12; formation energy from raw total energies = -845 meV per atom; calculated volume = 24.003 A^3/atom; crystal system = monoclinic
1.0
6.0253 -3.1986 0.0000
6.0253 3.1986 0.0000
-5.4003 0.0000 6.2274
W Cl
2 8
direct
0.2060 0.7940 0.0000 W
0.7940 0.2060 0.0000 W
0.2131 0.2131 0.1846 Cl
0.2168 0.7415 0.7050 Cl
0.2585 0.7832 0.2950 Cl
0.3220 0.3220 0.8457 Cl
0.6780 0.6780 0.1543 Cl
0.7415 0.2168 0.7050 Cl
0.7832 0.2585 0.2950 Cl
0.7869 0.7869 0.8154 Cl

---

Entry 8:
WCl3, optimized geometry, DFT PBEsol; M_tot = 2.1 μB/cell; SG = No. 148; formation energy from raw total energies = -802 meV per atom; calculated volume = 23.491 A^3/atom; distance to the lowest polymorph of the same formula = 0.00 eV/f.u.; crystal system = trigonal
1.0
7.5767 4.3744 2.8351
-7.5767 4.3744 2.8351
0.0000 -8.7488 2.8351
W Cl
6 18
direct
0.0228 0.2399 0.1507 W
0.1507 0.0228 0.2399 W
0.2399 0.1507 0.0228 W
0.7601 0.8493 0.9772 W
0.8493 0.9772 0.7601 W
0.9772 0.7601 0.8493 W
0.0504 0.5231 0.3274 Cl
0.1036 0.1531 0.7513 Cl
0.1531 0.7513 0.1036 Cl
0.2001 0.3041 0.4533 Cl
0.2487 0.8964 0.8469 Cl
0.3041 0.4533 0.2001 Cl
0.3274 0.0504 0.5231 Cl
0.4533 0.2001 0.3041 Cl
0.4769 0.6726 0.9496 Cl
0.5231 0.3274 0.0504 Cl
0.5467 0.7999 0.6959 Cl
0.6726 0.9496 0.4769 Cl
0.6959 0.5467 0.7999 Cl
0.7513 0.1036 0.1531 Cl
0.7999 0.6959 0.5467 Cl
0.8469 0.2487 0.8964 Cl
0.8964 0.8469 0.2487 Cl
0.9496 0.4769 0.6726 Cl

---

Entry 9:
WCl3, optimized geometry, DFT PBEsol; M_tot = 0.0 μB/cell; SG = No. 123; formation energy from raw total energies = 178 meV per atom; calculated volume = 17.559 A^3/atom; distance to the lowest polymorph of the same formula = 3.92 eV/f.u.; crystal system = tetragonal
1.0
2.9674 0.0000 0.0000
0.0000 2.9674 0.0000
0.0000 0.0000 7.9763
W Cl
1 3
direct
0.0000 0.0000 0.0000 W
0.0000 0.0000 0.5000 Cl
0.5000 0.5000 0.1839 Cl
0.5000 0.5000 0.8161 Cl

---

Entry 10:
W2Cl, optimized geometry, DFT PBEsol; M_tot = 0.0 μB/cell; SG = No. 139; formation energy from raw total energies = 707 meV per atom; calculated volume = 14.851 A^3/atom; crystal system = tetragonal
1.0
2.9137 0.0000 0.0000
0.0000 2.9137 0.0000
0.0000 0.0000 10.4962
W Cl
4 2
direct
0.0000 0.0000 0.1650 W
0.0000 0.0000 0.8350 W
0.5000 0.5000 0.3350 W
0.5000 0.5000 0.6650 W
0.0000 0.0000 0.5000 Cl
0.5000 0.5000 0.0000 Cl

---

Entry 11:
YW2Cl, optimized geometry, DFT PBEsol; M_tot = 0.0 μB/cell; SG = No. 44; formation energy from raw total energies = 553 meV per atom; calculated volume = 19.541 A^3/atom; distance to the lowest polymorph of the same formula = 2.48 eV/f.u.; crystal system = orthorhombic
1.0
3.3787 0.0000 0.0000
0.0000 5.4340 0.0000
0.0000 0.0000 8.5149
Y W Cl
2 4 2
direct
0.0000 0.0000 0.0000 Y
0.5000 0.5000 0.5000 Y
0.0000 0.0000 0.4793 W
0.0000 0.5000 0.1890 W
0.5000 0.0000 0.6890 W
0.5000 0.5000 0.9793 W
0.0000 0.5000 0.7559 Cl
0.5000 0.0000 0.2559 Cl

---

Entry 12:
YW2Cl, optimized geometry, DFT PBEsol; M_tot = 0.0 μB/cell; SG = No. 71; formation energy from raw total energies = 306 meV per atom; calculated volume = 19.428 A^3/atom; distance to the lowest polymorph of the same formula = 1.50 eV/f.u.; crystal system = orthorhombic
1.0
3.0763 0.0000 0.0000
0.0000 4.2509 0.0000
0.0000 0.0000 11.8856
Y W Cl
2 4 2
direct
0.0000 0.0000 0.0000 Y
0.5000 0.5000 0.5000 Y
0.0000 0.5000 0.2603 W
0.0000 0.5000 0.7397 W
0.5000 0.0000 0.2397 W
0.5000 0.0000 0.7603 W
0.0000 0.0000 0.5000 Cl
0.5000 0.5000 0.0000 Cl

---

Entry 13:
YW2Cl, optimized geometry, DFT PBEsol; M_tot = 0.0 μB/cell; SG = No. 99; formation energy from raw total energies = 17 meV per atom; calculated volume = 20.809 A^3/atom; distance to the lowest polymorph of the same formula = 0.34 eV/f.u.; crystal system = tetragonal
1.0
3.2156 0.0000 0.0000
0.0000 3.2156 0.0000
0.0000 0.0000 8.0498
Y W Cl
1 2 1
direct
0.0000 0.0000 0.0000 Y
0.0000 0.0000 0.5877 W
0.5000 0.5000 0.7392 W
0.5000 0.5000 0.2234 Cl

---

Entry 14:
YWCl2, optimized geometry, DFT PBEsol; M_tot = 0.0 μB/cell; SG = No. 44; formation energy from raw total energies = -54 meV per atom; calculated volume = 18.232 A^3/atom; distance to the lowest polymorph of the same formula = 2.08 eV/f.u.; crystal system = orthorhombic
1.0
3.0802 0.0000 0.0000
0.0000 4.6343 0.0000
0.0000 0.0000 10.2179
Y W Cl
2 2 4
direct
0.0000 0.0000 0.0000 Y
0.5000 0.5000 0.5000 Y
0.0000 0.5000 0.2320 W
0.5000 0.0000 0.7320 W
0.0000 0.0000 0.5325 Cl
0.0000 0.5000 0.7376 Cl
0.5000 0.0000 0.2376 Cl
0.5000 0.5000 0.0325 Cl

---

Entry 15:
YW2Cl, optimized geometry, DFT PBEsol; M_tot = 0.0 μB/cell; SG = No. 47; formation energy from raw total energies = 331 meV per atom; calculated volume = 18.804 A^3/atom; distance to the lowest polymorph of the same formula = 1.60 eV/f.u.; crystal system = orthorhombic
1.0
3.1256 0.0000 0.0000
0.0000 4.2369 0.0000
0.0000 0.0000 5.6795
Y W Cl
1 2 1
direct
0.0000 0.0000 0.0000 Y
0.0000 0.5000 0.5000 W
0.5000 0.0000 0.5000 W
0.5000 0.5000 0.0000 Cl

---

Entry 16:
YW2Cl, optimized geometry, DFT PBEsol; M_tot = 0.0 μB/cell; SG = No. 38; formation energy from raw total energies = -69 meV per atom; calculated volume = 19.334 A^3/atom; distance to the lowest polymorph of the same formula = 0.00 eV/f.u.; crystal system = orthorhombic
1.0
3.1680 0.0000 0.0000
0.0000 3.2610 0.0000
0.0000 0.0000 14.9722
Y W Cl
2 4 2
direct
0.0000 0.0000 0.0000 Y
0.0000 0.5000 0.5000 Y
0.0000 0.0000 0.2212 W
0.0000 0.5000 0.7212 W
0.5000 0.0000 0.6351 W
0.5000 0.5000 0.1351 W
0.5000 0.0000 0.3683 Cl
0.5000 0.5000 0.8683 Cl

---

Entry 17:
YWCl2, optimized geometry, DFT PBEsol; M_tot = 2.9 μB/cell; SG = No. 12; formation energy from raw total energies = -50 meV per atom; calculated volume = 19.443 A^3/atom; distance to the lowest polymorph of the same formula = 2.10 eV/f.u.; crystal system = monoclinic
1.0
6.0842 0.0000 0.0000
0.0000 8.7288 0.0000
-1.8467 0.0000 2.9289
Y W Cl
2 2 4
direct
0.0000 0.0000 0.0000 Y
0.5000 0.5000 0.0000 Y
0.0000 0.5000 0.0000 W
0.5000 0.0000 0.0000 W
0.2500 0.2500 0.0000 Cl
0.2500 0.7500 0.0000 Cl
0.7500 0.2500 0.0000 Cl
0.7500 0.7500 0.0000 Cl

---

Entry 18:
YWCl2, optimized geometry, DFT PBEsol; M_tot = 0.0 μB/cell; SG = No. 160; formation energy from raw total energies = -574 meV per atom; calculated volume = 21.804 A^3/atom; distance to the lowest polymorph of the same formula = 0.00 eV/f.u.; crystal system = trigonal
1.0
3.3590 0.0000 0.0000
-1.6795 2.9090 0.0000
0.0000 0.0000 26.7764
Y W Cl
3 3 6
direct
0.0000 0.0000 0.0000 Y
0.3333 0.6667 0.6667 Y
0.6667 0.3333 0.3333 Y
0.0000 0.0000 0.7558 W
0.3333 0.6667 0.4224 W
0.6667 0.3333 0.0891 W
0.0000 0.0000 0.2641 Cl
0.0000 0.0000 0.4770 Cl
0.3333 0.6667 0.1436 Cl
0.3333 0.6667 0.9307 Cl
0.6667 0.3333 0.5974 Cl
0.6667 0.3333 0.8103 Cl

---

Entry 19:
YWCl2, optimized geometry, DFT PBEsol; M_tot = 0.0 μB/cell; SG = No. 25; formation energy from raw total energies = -286 meV per atom; calculated volume = 19.424 A^3/atom; distance to the lowest polymorph of the same formula = 1.15 eV/f.u.; crystal system = orthorhombic
1.0
3.2137 0.0000 0.0000
0.0000 4.5780 0.0000
0.0000 0.0000 5.2810
Y W Cl
1 1 2
direct
0.0000 0.0000 0.0000 Y
0.5000 0.5000 0.7108 W
0.0000 0.5000 0.3540 Cl
0.5000 0.0000 0.5765 Cl

---

Entry 20:
ZnWCl2, optimized geometry, DFT PBEsol; M_tot = 1.0 μB/cell; SG = No. 35; formation energy from raw total energies = -2 meV per atom; calculated volume = 18.742 A^3/atom; distance to the lowest polymorph of the same formula = 0.00 eV/f.u.; crystal system = orthorhombic
1.0
3.0394 0.0000 0.0000
0.0000 5.4414 0.0000
0.0000 0.0000 9.0660
Zn W Cl
2 2 4
direct
0.0000 0.0000 0.0000 Zn
0.5000 0.5000 0.0000 Zn
0.0000 0.5000 0.7580 W
0.5000 0.0000 0.7580 W
0.0000 0.0000 0.5549 Cl
0.0000 0.5000 0.1873 Cl
0.5000 0.0000 0.1873 Cl
0.5000 0.5000 0.5549 Cl

---

Entry 21:
ZnWCl2, optimized geometry, DFT PBEsol; M_tot = 0.0 μB/cell; SG = No. 123; formation energy from raw total energies = 845 meV per atom; calculated volume = 15.577 A^3/atom; distance to the lowest polymorph of the same formula = 3.39 eV/f.u.; crystal system = tetragonal
1.0
4.6470 0.0000 0.0000
0.0000 4.6470 0.0000
0.0000 0.0000 2.8853
Zn W Cl
1 1 2
direct
0.0000 0.0000 0.0000 Zn
0.5000 0.5000 0.0000 W
0.0000 0.5000 0.5000 Cl
0.5000 0.0000 0.5000 Cl

---

Entry 22:
ZrWCl, optimized geometry, DFT PBEsol; M_tot = 0.0 μB/cell; SG = No. 107; formation energy from raw total energies = 129 meV per atom; calculated volume = 20.676 A^3/atom; distance to the lowest polymorph of the same formula = 0.00 eV/f.u.; crystal system = tetragonal
1.0
2.8554 0.0000 0.0000
0.0000 2.8554 0.0000
0.0000 0.0000 15.2146
Zr W Cl
2 2 2
direct
0.0000 0.0000 0.0000 Zr
0.5000 0.5000 0.5000 Zr
0.0000 0.0000 0.3542 W
0.5000 0.5000 0.8542 W
0.0000 0.0000 0.6144 Cl
0.5000 0.5000 0.1144 Cl

---

Entry 23:
Zr2WCl, optimized geometry, DFT PBEsol; M_tot = 0.0 μB/cell; SG = No. 123; formation energy from raw total energies = -301 meV per atom; calculated volume = 19.797 A^3/atom; distance to the lowest polymorph of the same formula = 0.61 eV/f.u.; crystal system = tetragonal
1.0
3.2239 0.0000 0.0000
0.0000 3.2239 0.0000
0.0000 0.0000 7.6189
Zr W Cl
2 1 1
direct
0.0000 0.0000 0.2126 Zr
0.0000 0.0000 0.7874 Zr
0.5000 0.5000 0.0000 W
0.5000 0.5000 0.5000 Cl

---

Entry 24:
Zr2WCl, optimized geometry, DFT PBEsol; M_tot = 0.0 μB/cell; SG = No. 35; formation energy from raw total energies = 89 meV per atom; calculated volume = 20.012 A^3/atom; distance to the lowest polymorph of the same formula = 2.17 eV/f.u.; crystal system = orthorhombic
1.0
3.3297 0.0000 0.0000
0.0000 4.9290 0.0000
0.0000 0.0000 9.7549
Zr W Cl
4 2 2
direct
0.0000 0.0000 0.0000 Zr
0.0000 0.5000 0.2684 Zr
0.5000 0.0000 0.2684 Zr
0.5000 0.5000 0.0000 Zr
0.0000 0.0000 0.4846 W
0.5000 0.5000 0.4846 W
0.0000 0.5000 0.8006 Cl
0.5000 0.0000 0.8006 Cl

---

Entry 25:
ZrWCl, optimized geometry, DFT PBEsol; M_tot = 0.0 μB/cell; SG = No. 216; formation energy from raw total energies = 1337 meV per atom; calculated volume = 20.996 A^3/atom; distance to the lowest polymorph of the same formula = 3.63 eV/f.u.; crystal system = cubic
1.0
6.3160 0.0000 0.0000
0.0000 6.3160 0.0000
0.0000 0.0000 6.3160
Zr W Cl
4 4 4
direct
0.0000 0.0000 0.0000 Zr
0.0000 0.5000 0.5000 Zr
0.5000 0.0000 0.5000 Zr
0.5000 0.5000 0.0000 Zr
0.2500 0.2500 0.7500 W
0.2500 0.7500 0.2500 W
0.7500 0.2500 0.2500 W
0.7500 0.7500 0.7500 W
0.2500 0.2500 0.2500 Cl
0.2500 0.7500 0.7500 Cl
0.7500 0.2500 0.7500 Cl
0.7500 0.7500 0.2500 Cl

---

Entry 26:
Zr2WCl, optimized geometry, DFT PBEsol; M_tot = 0.0 μB/cell; SG = No. 65; formation energy from raw total energies = 78 meV per atom; calculated volume = 18.247 A^3/atom; distance to the lowest polymorph of the same formula = 2.12 eV/f.u.; crystal system = orthorhombic
1.0
6.3841 0.0000 0.0000
0.0000 7.2422 0.0000
0.0000 0.0000 3.1573
Zr W Cl
4 2 2
direct
0.2500 0.2500 0.0000 Zr
0.2500 0.7500 0.0000 Zr
0.7500 0.2500 0.0000 Zr
0.7500 0.7500 0.0000 Zr
0.0000 0.0000 0.5000 W
0.5000 0.5000 0.5000 W
0.0000 0.5000 0.5000 Cl
0.5000 0.0000 0.5000 Cl

---

Entry 27:
Zr3WCl, optimized geometry, DFT PBEsol; M_tot = 0.0 μB/cell; SG = No. 221; formation energy from raw total energies = 323 meV per atom; calculated volume = 20.217 A^3/atom; crystal system = cubic
1.0
4.6583 0.0000 0.0000
0.0000 4.6583 0.0000
0.0000 0.0000 4.6583
Zr W Cl
3 1 1
direct
0.0000 0.0000 0.5000 Zr
0.0000 0.5000 0.0000 Zr
0.5000 0.0000 0.0000 Zr
0.5000 0.5000 0.5000 W
0.0000 0.0000 0.0000 Cl

---

Entry 28:
Zr2WCl, optimized geometry, DFT PBEsol; M_tot = 0.0 μB/cell; SG = No. 8; formation energy from raw total energies = 3 meV per atom; calculated volume = 19.225 A^3/atom; distance to the lowest polymorph of the same formula = 1.82 eV/f.u.; crystal system = monoclinic
1.0
5.5700 0.0000 0.0000
0.0000 3.0003 0.0000
-1.0302 0.0000 9.2028
Zr W Cl
4 2 2
direct
0.0000 0.0000 0.0000 Zr
0.2121 0.5000 0.7143 Zr
0.5000 0.5000 0.0000 Zr
0.7121 0.0000 0.7143 Zr
0.4052 0.0000 0.4793 W
0.9052 0.5000 0.4793 W
0.3625 0.0000 0.2023 Cl
0.8625 0.5000 0.2023 Cl